EuGd2Au: optimized geometry, GGA-PBE.

a b c (Å): 3.671 3.671 9.180
angles (deg): 90.00 90.00 90.00
Fractional coordinates of all 4 atoms:
Eu 0.500 0.500 0.500
Gd 0.000 0.000 0.188
Gd 0.000 0.000 0.812
Au 0.500 0.500 0.000

Computed properties:
Offset from the most stable computed form ... 0 kJ/mol of formula units
D(E_F) ... 6.0 states/eV/f.u.
Formation energy ... -338 meV/atom
Total magnetization ... 6.8 μB per formula unit
Volume ... 30.94 Å³/atom